[1]
An optimized crystal structure of CdIn2I6, computed with PBE.

- SG: No. 15
- Total moment: 0.000 μB/atom
- ρ: 3.3 g/cm³
- Energy above the most stable polymorph in this dataset: 0.000 eV per atom

The structure in POSCAR format:
```
CdIn2I6
1.0
-5.9896 0.6572 -9.1275
1.8292 -7.7755 -8.3614
-10.5913 -4.6414 0.0148
Cd In I
2 4 12
Cartesian
-10.0657 -4.9876 -3.6314
-4.6861 -6.7721 -13.8428
-7.8803 -7.8963 -6.9307
-5.4753 -3.7886 -4.9015
-6.8715 -3.8634 -10.5434
-9.2764 -7.9711 -12.5726
-8.2464 -7.4991 -9.8505
-3.1299 -4.6853 -3.3166
-6.5054 -4.2606 -7.6236
-11.6218 -7.0744 -14.1576
-7.0952 -8.0538 -14.5961
-4.3549 -4.9661 -11.6880
-7.6565 -3.7059 -2.8780
-10.3968 -6.7936 -5.7861
-8.5509 -10.7849 -7.1355
-4.5460 -0.9653 -4.8712
-6.2009 -0.9748 -10.3386
-10.2057 -10.7944 -12.6029
```

[2]
An optimized crystal structure of Cd2In2I7, computed with PBE.

- SG: No. 12
- Total moment: 0.000 μB/atom
- ρ: 4.1 g/cm³

The structure in POSCAR format:
```
Cd2In2I7
1.0
7.5033 -0.1791 -0.2047
-0.7365 8.5843 -0.3858
-0.7365 -1.5243 8.4566
Cd In I
2 2 7
Cartesian
2.7197 1.6710 1.9102
3.3106 5.2099 5.9559
-0.7365 1.5277 5.7869
-0.7365 5.5322 2.2839
4.7546 6.9107 4.2426
1.2758 3.5953 0.4524
1.2758 -0.0298 3.6235
4.7546 3.2856 7.4137
3.7516 -0.0895 -0.1024
0.9343 4.1850 4.7842
5.0960 2.6959 3.0819
```

[3]
An optimized crystal structure of Cd2InI6, computed with PBE.

- SG: No. 15
- Total moment: 0.000 μB/atom
- ρ: 4.6 g/cm³
- Energy above the most stable polymorph in this dataset: 0.000 eV per atom

The structure in POSCAR format:
```
Cd2InI6
1.0
-1.4791 4.7921 -6.2297
-9.5765 -2.8030 -1.6676
-4.0216 7.7406 5.1241
Cd In I
4 2 12
Cartesian
-9.2195 5.1108 1.8019
-4.2377 3.8940 -0.3837
-5.8577 4.6189 -4.5750
-10.8395 5.8357 -2.3894
-5.0411 7.7054 2.7723
-10.0361 2.0243 -5.5455
-9.5261 3.9266 -0.7666
-5.7990 1.5329 -0.0989
-5.5511 5.8031 -2.0065
-9.2783 8.1968 -2.6742
-11.2649 4.7374 -4.9695
-7.2903 2.1906 -4.2666
-3.8123 4.9923 2.1963
-7.7870 7.5391 1.4935
-11.8225 5.7559 2.8219
-1.6778 3.1671 -1.4565
-3.2547 3.9738 -5.5951
-13.3994 6.5626 -1.3167
```

[4]
An optimized crystal structure of CdInI6, computed with PBE.

- SG: No. 12
- Total moment: 0.000 μB/atom
- ρ: 4.9 g/cm³
- Energy above the most stable polymorph in this dataset: 0.000 eV per atom

The structure in POSCAR format:
```
CdInI6
1.0
-4.3408 -4.8765 -2.6471
2.7924 -5.9645 -2.9634
-0.2398 -3.4453 6.6794
Cd In I
1 1 6
Cartesian
0.0000 0.0000 0.0000
-0.1199 -1.7226 3.3397
-1.4935 -2.4929 0.8407
0.7109 -4.4871 4.0016
-0.2946 -11.7935 0.2282
-2.0998 -6.1030 -1.0238
-2.4990 -9.7993 -2.9327
0.3117 -8.1833 2.0926
```

[5]
An optimized crystal structure of Cd3InI, computed with PBE.

- SG: No. 221
- Total moment: 0.000 μB/atom
- ρ: 5.6 g/cm³
- Energy above the most stable polymorph in this dataset: 0.000 eV per atom

The structure in POSCAR format:
```
Cd3InI
1.0
-2.9158 -3.0830 3.6045
4.6549 -2.6719 1.4803
0.9101 3.7888 3.9768
I Cd In
1 3 1
Cartesian
1.3246 -0.9830 4.5308
2.3275 -1.3359 0.7401
0.4550 1.8944 1.9884
-1.4579 -1.5415 1.8022
0.0000 0.0000 0.0000
```

[6]
An optimized crystal structure of CdInI, computed with PBE.

- SG: No. 107
- Total moment: 0.000 μB/atom
- ρ: 6.2 g/cm³
- Energy above the most stable polymorph in this dataset: 0.050 eV per atom

The structure in POSCAR format:
```
CdInI
1.0
3.9640 0.0000 0.0000
0.0000 3.9640 0.0000
-1.9820 -1.9820 6.0469
I Cd In
1 1 1
Cartesian
1.9820 1.9820 5.9490
0.0000 0.0000 3.9149
1.9820 1.9820 2.2297
```

[7]
An optimized crystal structure of Cd2InI, computed with PBE.

- SG: No. 225
- Total moment: 0.000 μB/atom
- ρ: 5.9 g/cm³
- Energy above the most stable polymorph in this dataset: 0.184 eV per atom

The structure in POSCAR format:
```
Cd2InI
1.0
4.1853 -0.5517 3.8483
2.0452 4.6134 2.6768
-1.0971 0.8038 5.5481
I Cd In
1 2 1
Cartesian
2.5667 2.4327 6.0366
1.2834 1.2164 3.0183
3.8501 3.6491 9.0548
0.0000 0.0000 0.0000
```

[8]
An optimized crystal structure of CdInI, computed with PBE.

- SG: No. 216
- Total moment: 0.000 μB/atom
- ρ: 4.7 g/cm³
- Energy above the most stable polymorph in this dataset: 0.050 eV per atom

The structure in POSCAR format:
```
CdInI
1.0
5.5975 0.0000 0.0000
2.7988 4.8476 0.0000
2.7988 1.6159 4.5703
I Cd In
1 1 1
Cartesian
0.0000 0.0000 0.0000
5.5975 3.2317 2.2852
2.7988 1.6159 1.1426
```

[9]
An optimized crystal structure of CdIn2I8, computed with PBE.

- SG: No. 15
- Total moment: 0.000 μB/atom
- ρ: 4.1 g/cm³

The structure in POSCAR format:
```
CdIn2I8
1.0
-6.0951 -3.6031 6.4771
3.6015 0.8662 10.9796
-7.1645 8.0633 4.8521
Cd In I
2 4 16
Cartesian
-5.1424 -0.9124 15.8794
-4.5157 6.2388 6.4294
-8.8880 5.5089 19.5786
-4.0608 2.8446 8.4262
-5.5974 2.4818 13.8826
-0.7702 -0.1825 2.7302
-3.3666 3.9558 13.4671
0.8084 2.1388 12.4695
-2.2118 -0.1091 15.9782
-3.6774 3.4459 5.7071
-7.4464 5.4355 6.3306
-4.3211 -2.6563 8.8154
-5.9807 1.8805 16.6018
-4.2482 5.4678 9.3582
-5.3371 7.9827 13.4934
-8.2595 5.7252 16.9556
-7.7456 3.8628 12.7755
-1.9126 1.4636 9.5333
-1.3987 -0.3988 5.3532
-5.4100 -0.1414 12.9506
-6.2916 1.3706 8.8417
-10.4666 3.1876 9.8393
```

[10]
An optimized crystal structure of Cd2InI, computed with PBE.

- SG: No. 160
- Total moment: 0.000 μB/atom
- ρ: 6.4 g/cm³
- Energy above the most stable polymorph in this dataset: 0.022 eV per atom

The structure in POSCAR format:
```
Cd2InI
1.0
-1.5347 -1.9912 -3.2371
-1.2941 -3.8685 0.3984
-8.6148 0.8126 0.9897
Cd In I
2 1 1
Cartesian
-6.8312 0.1696 0.5396
-2.7058 -1.3177 -0.5014
-10.4812 -3.1009 -0.9077
-5.7620 -2.5091 -0.9144
```

[11]
An optimized crystal structure of CdIn2I4, computed with PBE.

- SG: No. 139
- Total moment: 0.000 μB/atom
- ρ: 4.7 g/cm³
- Energy above the most stable polymorph in this dataset: 0.077 eV per atom

The structure in POSCAR format:
```
CdIn2I4
1.0
-3.9710 -3.0978 3.3109
4.0852 -0.5349 4.3992
-2.6605 5.2876 7.2425
I Cd In
4 1 2
Cartesian
-0.8411 -1.1354 8.9009
-1.7052 2.7903 6.0517
2.0426 -0.2675 2.1996
-1.9855 -1.5489 1.6555
0.0000 0.0000 0.0000
-1.9020 1.6378 10.2232
-0.6443 0.0172 4.7293
```

[12]
An optimized crystal structure of CdIn2I4, computed with PBE.

- SG: No. 11
- Total moment: 0.000 μB/atom
- ρ: 4.6 g/cm³
- Energy above the most stable polymorph in this dataset: 0.000 eV per atom

The structure in POSCAR format:
```
CdIn2I4
1.0
-6.3597 -2.9590 4.0259
5.1654 -4.1414 5.1158
2.3850 8.0934 4.1437
Cd In I
2 4 8
Cartesian
2.6842 -2.3126 5.6806
-1.4934 3.3056 7.6048
-0.6228 -4.7780 7.0238
1.8136 5.7710 6.2616
0.5757 1.7313 4.2413
0.6151 -0.7383 9.0441
-0.0353 -1.4484 5.6107
5.6298 3.9475 7.7741
-4.4390 -2.9545 5.5113
-2.5468 0.5652 3.1233
-3.2405 1.1164 7.5967
3.7376 0.4278 10.1621
1.2261 2.4414 7.6747
4.4313 -0.1235 5.6887
```

[13]
An optimized crystal structure of CdInI5, computed with PBE.

- SG: No. 15
- Total moment: 0.000 μB/atom
- ρ: 4.3 g/cm³

The structure in POSCAR format:
```
CdInI5
1.0
7.8295 -0.0083 -2.7177
-1.2160 7.7363 -2.7182
0.0139 0.0144 11.0569
Cd In I
2 2 10
Cartesian
3.9147 -0.0042 -1.3589
3.9217 0.0030 4.1696
6.1397 4.7948 -1.3121
0.4877 2.9476 6.9331
4.9493 5.5868 -3.6743
1.0895 5.1309 1.3507
3.1596 0.6436 1.4044
5.1741 5.8513 1.0496
1.4533 1.8911 4.5714
6.2412 1.9986 -1.2526
0.3862 5.7438 6.8736
3.4678 7.0988 4.2166
5.5379 2.6115 4.2703
1.6781 2.1556 9.2953
```

[14]
An optimized crystal structure of KCdInI4, computed with PBE.

- SG: No. 11
- Total moment: 0.000 μB/atom
- ρ: 4.1 g/cm³

The structure in POSCAR format:
```
KCdInI4
1.0
8.2040 0.0000 0.1345
0.0000 8.3943 0.0000
-3.0184 0.0000 9.0061
K Cd In I
2 2 2 8
Cartesian
5.0384 6.2957 4.0637
0.1471 2.0986 5.0768
1.0947 6.2957 2.7515
4.0909 2.0986 6.3890
3.4694 6.2957 8.5724
1.7162 2.0986 0.5682
5.8913 4.2412 6.9760
-0.7058 0.0441 2.1645
-0.7058 4.1531 2.1645
5.8913 8.3502 6.9760
3.2760 6.2957 1.0039
1.9096 2.0986 8.1367
1.7559 6.2957 5.4842
3.4297 2.0986 3.6564
```

[15]
An optimized crystal structure of LiCdInI4, computed with PBE.

- SG: No. 11
- Total moment: 0.000 μB/atom
- ρ: 4.0 g/cm³

The structure in POSCAR format:
```
LiCdInI4
1.0
7.0680 0.0000 0.4578
0.0000 9.6662 0.0000
-2.2650 0.0000 8.7832
Li Cd In I
2 2 2 8
Cartesian
4.2925 7.2496 3.0273
0.5105 2.4165 6.2136
0.9313 7.2496 2.8632
3.8717 2.4165 6.3777
4.0142 7.2496 8.6516
0.7888 2.4165 0.5894
-1.3573 4.5146 6.5335
6.1602 9.3477 2.7075
6.1602 5.1515 2.7075
-1.3573 0.3185 6.5335
2.7668 7.2496 0.6508
2.0362 2.4165 8.5901
2.5196 7.2496 5.1328
2.2834 2.4165 4.1082
```

[16]
An optimized crystal structure of LiCdIn2I5, computed with PBE.

- SG: No. 36
- Total moment: 0.000 μB/atom
- ρ: 4.7 g/cm³

The structure in POSCAR format:
```
LiCdIn2I5
1.0
4.4920 0.0000 0.0000
-2.2460 10.5745 0.0000
0.0000 0.0000 14.7629
Li Cd In I
2 2 4 10
Cartesian
2.2460 6.0123 7.8342
0.0000 4.5621 0.4528
2.2460 1.2955 13.6973
0.0000 9.2790 6.3159
2.2460 7.7035 12.1326
0.0000 2.9583 10.0006
0.0000 2.8710 4.7512
2.2460 7.6161 2.6192
0.0000 7.3674 0.1395
2.2460 4.0425 13.0136
0.0000 10.3297 11.3915
0.0000 6.2480 9.7532
2.2460 9.7285 8.0161
2.2460 3.2071 7.5209
0.0000 6.5320 5.6321
2.2460 0.2447 4.0100
2.2460 4.3265 2.3717
0.0000 0.8460 0.6346
```

[17]
An optimized crystal structure of LiCd2InI6, computed with PBE.

- SG: No. 15
- Total moment: 0.000 μB/atom
- ρ: 4.0 g/cm³

The structure in POSCAR format:
```
LiCd2InI6
1.0
8.4641 -0.0117 -0.0122
2.6970 10.3791 0.1443
2.6970 -0.2404 10.3774
Li Cd In I
2 4 2 12
Cartesian
4.8131 1.9149 8.2946
9.0451 8.2121 2.2149
6.2391 7.8109 6.4657
3.3870 3.9611 2.4704
7.6191 2.3161 4.0438
10.4712 6.1659 8.0391
4.8131 9.0787 1.3916
9.0451 1.0483 9.1180
6.2092 9.7213 8.5765
3.4169 1.9226 0.4832
7.6490 0.4057 1.9331
10.4412 8.2044 10.0264
7.0777 8.9671 4.0413
2.5484 6.4267 1.4049
6.7805 1.1599 6.4683
11.3097 3.7003 9.1046
3.5067 7.1296 5.8444
6.1194 4.5567 3.1743
10.3515 2.9973 4.6651
7.7388 5.5703 7.3353
```

[18]
An optimized crystal structure of NaCdIn2I4, computed with PBE.

- SG: No. 1
- Total moment: 0.000 μB/atom
- ρ: 4.7 g/cm³

The structure in POSCAR format:
```
NaCdIn2I4
1.0
8.5921 -0.5771 0.0230
-0.5704 8.1718 0.0115
-4.0117 -3.8006 4.4166
Na Cd In I
1 1 2 4
Cartesian
4.3003 -0.2877 3.9708
4.0156 3.7952 1.2326
-0.2902 4.0807 3.9305
-0.0041 -0.0012 2.6336
2.5007 2.1182 3.2306
6.5369 1.6883 1.5190
1.4841 5.9059 1.5123
-2.5038 -2.1252 3.2076
```

[19]
An optimized crystal structure of NbCdInI2, computed with PBE.

- SG: No. 123
- Total moment: 0.867 μB/atom
- ρ: 4.9 g/cm³

The structure in POSCAR format:
```
NbCdInI2
1.0
-0.7660 4.3219 4.0583
-5.3151 0.0640 -1.0713
-0.9018 -4.1294 4.2273
I Nb Cd In
2 1 1 1
Cartesian
-0.4509 -2.0647 2.1137
-0.3830 2.1609 2.0292
-3.4914 0.1283 3.6072
0.0000 0.0000 0.0000
-2.6575 0.0320 -0.5357
```

[20]
An optimized crystal structure of CdIn2NiI, computed with PBE.

- SG: No. 123
- Total moment: 0.000 μB/atom
- ρ: 6.4 g/cm³

The structure in POSCAR format:
```
CdIn2NiI
1.0
-1.2040 -4.9203 -0.8200
4.2888 -0.5904 -2.7548
2.5838 -1.3509 4.3120
I Ni Cd In
1 1 1 2
Cartesian
2.8343 -3.4308 0.3686
0.0000 0.0000 0.0000
1.2919 -0.6754 2.1560
2.1444 -0.2952 -1.3774
-0.6020 -2.4601 -0.4100
```

no.,raw total energy (eV/atom),formation energy without anion corrections (eV per atom)
1,-2.203,-0.460
2,-2.095,-0.445
3,-2.038,-0.497
4,-1.950,-0.331
5,-1.372,0.035
6,-1.847,-0.113
7,-1.431,0.098
8,-1.847,-0.112
9,-2.216,-0.508
10,-1.593,-0.063
11,-2.222,-0.423
12,-2.299,-0.500
13,-2.095,-0.466
14,-2.363,-0.799
15,-2.378,-0.697
16,-2.437,-0.653
17,-2.239,-0.661
18,-2.288,-0.549
19,-2.400,0.965
20,-2.860,-0.115